Entry 1:
DFT (GGA-PBE) results for crystalline Pr2PaSe5 at its relaxed geometry.

Cell lengths 7.9126, 8.4625, 12.6311 Å; angles 90.00, 90.00, 90.00 degrees
Last column: magnetic moment on the atom in μB.
Fractional positions:
Pr 0.4745 0.0014 0.8217  0.03
Se 0.1694 0.7500 0.8166  -0.01
Se 0.8058 0.7500 0.2132  -0.01
Se 0.6694 0.2500 0.6834  -0.01
Se 0.3359 0.5428 0.5960  -0.02
Se 0.4531 0.2500 0.0009  -0.01
Se 0.3359 0.9572 0.5960  -0.02
Pa 0.9270 0.7500 0.9931  0.80
Se 0.6942 0.7500 0.7132  -0.01
Se 0.1641 0.9572 0.0960  -0.02
Pa 0.4270 0.2500 0.5069  0.80
Se 0.1641 0.5428 0.0960  -0.02
Se 0.8306 0.2500 0.1834  -0.01
Se 0.0469 0.2500 0.5009  -0.01
Se 0.1942 0.2500 0.7868  -0.01
Se 0.8359 0.4572 0.9040  -0.02
Pa 0.5730 0.7500 0.4931  0.80
Se 0.5469 0.7500 0.9991  -0.01
Se 0.3058 0.2500 0.2868  -0.01
Se 0.8359 0.0428 0.9040  -0.02
Pr 0.0255 0.4986 0.3217  0.03
Pa 0.0730 0.2500 0.0069  0.80
Pr 0.9745 0.5014 0.6783  0.03
Se 0.6641 0.0428 0.4040  -0.02
Pr 0.9745 0.9986 0.6783  0.03
Pr 0.5255 0.5014 0.1783  0.03
Pr 0.0255 0.0014 0.3217  0.03
Pr 0.4745 0.4986 0.8217  0.03
Se 0.9531 0.7500 0.4991  -0.01
Pr 0.5255 0.9986 0.1783  0.03
Se 0.3306 0.7500 0.3166  -0.01
Se 0.6641 0.4572 0.4040  -0.02

Properties
- magnetic moment (μB per atom) = 0.111
- energy relative to the lowest polymorph listed for this composition (eV/atom) = 0.000
- formation energy from raw total energies (eV per atom) = -1.72



Entry 2:
DFT (GGA-PBE) results for crystalline Pr2Pa3Se8 at its relaxed geometry.

Cell lengths 4.1743, 14.2127, 13.6677 Å; angles 149.15, 90.00, 90.00 degrees
Last column: magnetic moment on the atom in μB.
Fractional positions:
Pa 0.5000 0.0000 0.0000  1.30
Se 0.0000 0.8712 0.7527  -0.02
Se 0.5000 0.3571 0.2309  -0.03
Pr 0.5000 0.2560 0.5064  0.05
Se 0.5000 0.8723 0.2361  -0.02
Se 0.0000 0.1288 0.2473  -0.02
Se 0.0000 0.4038 0.7668  -0.01
Pa 0.0000 0.2434 0.9925  0.86
Se 0.5000 0.1277 0.7639  -0.02
Pa 0.0000 0.7566 0.0075  0.86
Se 0.5000 0.6429 0.7691  -0.03
Pr 0.5000 0.7440 0.4936  0.05
Se 0.0000 0.5962 0.2332  -0.01

Properties
- magnetic moment (μB per atom) = 0.288
- energy relative to the lowest polymorph listed for this composition (eV/atom) = 0.000
- formation energy from raw total energies (eV per atom) = -1.48



Entry 3:
DFT (GGA-PBE) results for crystalline Pr2PaSe5 at its relaxed geometry.

Cell lengths 5.7340, 7.6963, 14.0728 Å; angles 90.00, 90.00, 111.87 degrees
Last column: magnetic moment on the atom in μB.
Fractional positions:
Pr 0.8542 0.7084 0.0596  0.01
Pa 0.8040 0.6080 0.7500  1.00
Se 0.3106 0.6213 0.0802  -0.01
Pa 0.1960 0.3920 0.2500  1.00
Pr 0.8542 0.7084 0.4404  0.01
Se 0.6894 0.3787 0.9198  -0.01
Pr 0.1458 0.2916 0.9404  0.01
Se 0.6894 0.3787 0.5802  -0.01
Se 0.9523 0.9046 0.8777  -0.02
Se 0.9523 0.9046 0.6223  -0.02
Se 0.0477 0.0954 0.1223  -0.02
Pr 0.1458 0.2916 0.5596  0.01
Se 0.3106 0.6213 0.4198  -0.01
Se 0.2610 0.5219 0.7500  -0.02
Se 0.0477 0.0954 0.3777  -0.02
Se 0.7390 0.4781 0.2500  -0.02

Properties
- magnetic moment (μB per atom) = 0.128
- energy relative to the lowest polymorph listed for this composition (eV/atom) = 0.097
- formation energy from raw total energies (eV per atom) = -1.62



> The lowest formation energy from raw total energies belongs to which entry?

number 1



> Which value of magnetic moment does entry 3 give?

0.128 μB per atom



> Which value of magnetic moment does entry 1 give?

0.111 μB per atom



> Number 3 is which compound?

Pr2PaSe5